[1]
Computed, not measured: a geometry-optimized CaHg2P structure at the PBE-GGA level of DFT.

```
CaHg2P
1.0
-4.240 4.240 2.798
4.240 -4.240 2.798
4.240 4.240 -2.798
Ca Hg P
2 4 2
Direct
0.000 0.000 0.000
0.750 0.250 0.500
0.186 0.125 0.561
0.375 0.814 0.939
0.564 0.625 0.439
0.875 0.436 0.061
0.250 0.750 0.500
0.500 0.500 0.000
```

E_form in eV/f.u.: -1.0
DFT total energy in eV/cell: -18.113
Crystal system: tetragonal
Symmetry: I-42d, No. 122

---

[2]
Computed, not measured: a geometry-optimized CaHgP2 structure at the PBE-GGA level of DFT.

```
CaHgP2
1.0
4.004 0.000 0.000
0.000 4.004 0.000
0.000 0.000 5.664
Ca Hg P
1 1 2
Direct
0.000 0.000 0.000
0.500 0.500 0.479
0.000 0.000 0.499
0.500 0.500 0.977
```

E_form in eV/f.u.: -0.3
DFT total energy in eV/cell: -13.466
Crystal system: tetragonal
Symmetry: P4mm, No. 99

---

[3]
Computed, not measured: a geometry-optimized CaHg2P structure at the PBE-GGA level of DFT.

```
CaHg2P
1.0
2.978 -3.054 0.000
2.978 3.054 0.000
0.000 0.000 5.411
Ca Hg P
1 2 1
Direct
0.000 0.000 0.000
0.261 0.739 0.500
0.739 0.261 0.500
0.500 0.500 0.000
```

E_form in eV/f.u.: -1.4
DFT total energy in eV/cell: -9.375
Crystal system: orthorhombic
Symmetry: Cmmm, No. 65

---

[4]
Computed, not measured: a geometry-optimized Ca2HgP structure at the PBE-GGA level of DFT.

```
Ca2HgP
1.0
4.305 0.000 0.000
0.000 2.144 5.518
0.000 -2.144 5.518
Ca Hg P
2 1 1
Direct
0.000 0.000 0.000
0.500 0.275 0.275
0.500 0.557 0.557
0.000 0.729 0.729
```

E_form in eV/f.u.: -3.2
DFT total energy in eV/cell: -12.868
Crystal system: orthorhombic
Symmetry: Amm2, No. 38
E above lowest polymorph in kJ per mole of atoms: 4.3

---

[5]
Computed, not measured: a geometry-optimized CaHg2P structure at the PBE-GGA level of DFT.

```
CaHg2P
1.0
5.366 0.000 0.000
2.104 4.945 0.000
2.497 1.736 7.524
Ca Hg P
2 4 2
Direct
0.229 0.225 0.155
0.771 0.775 0.845
0.157 0.159 0.585
0.443 0.452 0.704
0.557 0.548 0.296
0.843 0.841 0.415
0.185 0.814 0.001
0.815 0.186 0.999
```

E_form in eV/f.u.: -1.7
DFT total energy in eV/cell: -19.441
Crystal system: triclinic
Symmetry: P-1, No. 2

---

[6]
Computed, not measured: a geometry-optimized Ca2HgP structure at the PBE-GGA level of DFT.

```
Ca2HgP
1.0
-3.971 3.971 3.771
3.971 -3.971 3.771
3.971 3.971 -3.771
Ca Hg P
4 2 2
Direct
0.081 0.625 0.956
0.375 0.331 0.456
0.669 0.125 0.044
0.875 0.919 0.544
0.250 0.750 0.500
0.500 0.500 0.000
0.000 0.000 0.000
0.750 0.250 0.500
```

E_form in eV/f.u.: -2.2
DFT total energy in eV/cell: -23.794
Crystal system: tetragonal
Symmetry: I-42d, No. 122
E above lowest polymorph in kJ per mole of atoms: 27.7

---

[7]
Computed, not measured: a geometry-optimized CaHgP2 structure at the PBE-GGA level of DFT.

```
CaHgP2
1.0
4.508 0.000 0.000
0.000 4.508 0.000
0.000 0.000 3.966
Ca Hg P
1 1 2
Direct
0.000 0.000 0.000
0.500 0.500 0.000
0.000 0.500 0.500
0.500 0.000 0.500
```

E_form in eV/f.u.: -0.6
DFT total energy in eV/cell: -13.769
Crystal system: tetragonal
Symmetry: P4/mmm, No. 123

---

[8]
Computed, not measured: a geometry-optimized CaHgP3 structure at the PBE-GGA level of DFT.

```
CaHgP3
1.0
5.229 0.000 0.000
0.000 5.229 0.000
0.000 0.000 5.229
Ca Hg P
1 1 3
Direct
0.000 0.000 0.000
0.500 0.500 0.500
0.000 0.000 0.500
0.000 0.500 0.000
0.500 0.000 0.000
```

E_form in eV/f.u.: 5.2
DFT total energy in eV/cell: -13.293
Crystal system: cubic
Symmetry: Pm-3m, No. 221
E above lowest polymorph in kJ per mole of atoms: 41.3

---

[9]
Computed, not measured: a geometry-optimized CaHgP structure at the PBE-GGA level of DFT.

```
CaHgP
1.0
0.000 5.099 6.593
4.750 0.000 6.593
4.750 5.099 0.000
Ca Hg P
4 4 4
Direct
0.028 0.028 0.722
0.278 0.278 0.972
0.722 0.722 0.028
0.972 0.972 0.278
0.000 0.500 0.500
0.500 0.000 0.500
0.500 0.500 0.000
0.500 0.500 0.500
0.095 0.655 0.655
0.345 0.905 0.905
0.655 0.095 0.095
0.905 0.345 0.345
```

E_form in eV/f.u.: -1.4
DFT total energy in eV/cell: -36.296
Crystal system: orthorhombic
Symmetry: Fddd, No. 70
E above lowest polymorph in kJ per mole of atoms: 3.1

---

[10]
Computed, not measured: a geometry-optimized CaHgP3 structure at the PBE-GGA level of DFT.

```
CaHgP3
1.0
5.029 0.000 0.000
0.000 5.029 0.000
0.000 0.000 5.029
Ca Hg P
1 1 3
Direct
0.000 0.000 0.000
0.500 0.500 0.500
0.000 0.500 0.500
0.500 0.000 0.500
0.500 0.500 0.000
```

E_form in eV/f.u.: 3.1
DFT total energy in eV/cell: -15.432
Crystal system: cubic
Symmetry: Pm-3m, No. 221
E above lowest polymorph in kJ per mole of atoms: 0.0

---

[11]
Computed, not measured: a geometry-optimized CaHg2P structure at the PBE-GGA level of DFT.

```
CaHg2P
1.0
2.291 1.323 5.422
-2.291 1.323 5.422
0.000 -2.646 5.422
Ca Hg P
1 2 1
Direct
0.000 0.000 0.000
0.235 0.235 0.235
0.765 0.765 0.765
0.500 0.500 0.500
```

E_form in eV/f.u.: -0.7
DFT total energy in eV/cell: -8.738
Crystal system: trigonal
Symmetry: R-3m, No. 166

---

[12]
Computed, not measured: a geometry-optimized CaHgP2 structure at the PBE-GGA level of DFT.

```
CaHgP2
1.0
3.462 0.000 0.000
0.000 3.462 0.000
0.000 0.000 7.036
Ca Hg P
1 1 2
Direct
0.000 0.000 0.000
0.500 0.500 0.305
0.000 0.000 0.615
0.500 0.500 0.711
```

E_form in eV/f.u.: -0.7
DFT total energy in eV/cell: -13.832
Crystal system: tetragonal
Symmetry: P4mm, No. 99

---

[13]
Computed, not measured: a geometry-optimized CaHg2P2 structure at the PBE-GGA level of DFT.

```
CaHg2P2
1.0
-2.485 2.485 4.732
2.485 -2.485 4.732
2.485 2.485 -4.732
Ca Hg P
1 2 2
Direct
0.000 0.000 0.000
0.353 0.353 0.000
0.647 0.647 0.000
0.250 0.750 0.500
0.750 0.250 0.500
```

E_form in eV/f.u.: -0.1
DFT total energy in eV/cell: -13.518
Crystal system: tetragonal
Symmetry: I4/mmm, No. 139

---

[14]
Computed, not measured: a geometry-optimized CaHg2P structure at the PBE-GGA level of DFT.

```
CaHg2P
1.0
-1.895 2.226 5.663
1.895 -2.226 5.663
1.895 2.226 -5.663
Ca Hg P
1 2 1
Direct
0.000 0.000 0.000
0.294 0.794 0.500
0.706 0.206 0.500
0.500 0.500 0.000
```

E_form in eV/f.u.: -1.4
DFT total energy in eV/cell: -9.371
Crystal system: orthorhombic
Symmetry: Immm, No. 71

---

[15]
Computed, not measured: a geometry-optimized CaHg2P structure at the PBE-GGA level of DFT.

```
CaHg2P
1.0
5.888 -2.100 0.000
5.888 2.100 0.000
-0.038 0.000 3.935
Ca Hg P
1 2 1
Direct
0.000 0.000 0.000
0.283 0.283 0.009
0.685 0.685 0.514
0.460 0.460 0.499
```

E_form in eV/f.u.: -1.6
DFT total energy in eV/cell: -9.602
Crystal system: monoclinic
Symmetry: Cm, No. 8

---

[16]
Computed, not measured: a geometry-optimized CaHgP2 structure at the PBE-GGA level of DFT.

```
CaHgP2
1.0
-2.165 2.173 4.410
2.165 -2.173 4.410
2.165 2.173 -4.410
Ca Hg P
1 1 2
Direct
0.000 0.000 0.000
0.500 0.500 0.000
0.250 0.750 0.500
0.750 0.250 0.500
```

E_form in eV/f.u.: -0.3
DFT total energy in eV/cell: -13.399
Crystal system: orthorhombic
Symmetry: Immm, No. 71

---

[17]
Computed, not measured: a geometry-optimized CaHgP2 structure at the PBE-GGA level of DFT.

```
CaHgP2
1.0
5.121 -1.707 0.000
5.121 1.707 0.000
-0.941 0.000 5.883
Ca Hg P
1 1 2
Direct
0.000 0.000 0.000
0.500 0.500 0.500
0.257 0.257 0.876
0.743 0.743 0.124
```

E_form in eV/f.u.: -1.5
DFT total energy in eV/cell: -14.609
Crystal system: monoclinic
Symmetry: C2/m, No. 12

---

[18]
Computed, not measured: a geometry-optimized CaHg2P2 structure at the PBE-GGA level of DFT.

```
CaHg2P2
1.0
-2.027 2.027 7.760
2.027 -2.027 7.760
2.027 2.027 -7.760
Ca Hg P
1 2 2
Direct
0.000 0.000 0.000
0.250 0.750 0.500
0.750 0.250 0.500
0.432 0.432 0.000
0.568 0.568 0.000
```

E_form in eV/f.u.: -1.2
DFT total energy in eV/cell: -14.636
Crystal system: tetragonal
Symmetry: I4/mmm, No. 139

---

[19]
Computed, not measured: a geometry-optimized CaHgP2 structure at the PBE-GGA level of DFT.

```
CaHgP2
1.0
-2.036 2.036 4.940
2.036 -2.036 4.940
2.036 2.036 -4.940
Ca Hg P
1 1 2
Direct
0.000 0.000 0.000
0.250 0.750 0.500
0.500 0.500 0.000
0.750 0.250 0.500
```

E_form in eV/f.u.: -0.4
DFT total energy in eV/cell: -13.493
Crystal system: tetragonal
Symmetry: I-4m2, No. 119

---

[20]
Computed, not measured: a geometry-optimized CaHg2P structure at the PBE-GGA level of DFT.

```
CaHg2P
1.0
3.974 0.000 0.000
0.000 3.974 0.000
0.000 0.000 6.009
Ca Hg P
1 2 1
Direct
0.000 0.000 0.000
0.500 0.500 0.265
0.500 0.500 0.735
0.000 0.000 0.500
```

E_form in eV/f.u.: -0.6
DFT total energy in eV/cell: -8.644
Crystal system: tetragonal
Symmetry: P4/mmm, No. 123

---

[21]
Computed, not measured: a geometry-optimized Ca4HgP structure at the PBE-GGA level of DFT.

```
Ca4HgP
1.0
0.000 4.592 4.592
4.592 0.000 4.592
4.592 4.592 0.000
Ca Hg P
4 1 1
Direct
0.376 0.376 0.376
0.376 0.376 0.872
0.376 0.872 0.376
0.872 0.376 0.376
0.000 0.000 0.000
0.750 0.750 0.750
```

E_form in eV/f.u.: 2.0
DFT total energy in eV/cell: -11.763
Crystal system: cubic
Symmetry: F-43m, No. 216

---

[22]
Computed, not measured: a geometry-optimized CaHgP2 structure at the PBE-GGA level of DFT.

```
CaHgP2
1.0
5.451 -2.149 0.000
5.451 2.149 0.000
-1.104 0.000 4.011
Ca Hg P
1 1 2
Direct
0.000 0.000 0.000
0.725 0.725 0.276
0.346 0.346 0.168
0.533 0.533 0.548
```

E_form in eV/f.u.: -1.6
DFT total energy in eV/cell: -14.735
Crystal system: monoclinic
Symmetry: Cm, No. 8

---

[23]
Computed, not measured: a geometry-optimized CaHgP2 structure at the PBE-GGA level of DFT.

```
CaHgP2
1.0
-1.820 2.312 5.638
1.820 -2.312 5.638
1.820 2.312 -5.638
Ca Hg P
1 1 2
Direct
0.000 0.000 0.000
0.713 0.213 0.500
0.343 0.843 0.500
0.473 0.473 0.000
```

E_form in eV/f.u.: -1.4
DFT total energy in eV/cell: -14.549
Crystal system: orthorhombic
Symmetry: Imm2, No. 44

---

[24]
Computed, not measured: a geometry-optimized Ca2HgP structure at the PBE-GGA level of DFT.

```
Ca2HgP
1.0
3.711 -2.135 0.000
3.711 2.135 0.000
-2.442 0.000 7.257
Ca Hg P
2 1 1
Direct
0.231 0.231 0.196
0.769 0.769 0.804
0.000 0.000 0.500
0.500 0.500 0.000
```

E_form in eV/f.u.: -3.2
DFT total energy in eV/cell: -12.911
Crystal system: monoclinic
Symmetry: C2/m, No. 12
E above lowest polymorph in kJ per mole of atoms: 3.3

---

[25]
Computed, not measured: a geometry-optimized Ca2HgP structure at the PBE-GGA level of DFT.

```
Ca2HgP
1.0
0.000 3.699 3.699
3.699 0.000 3.699
3.699 3.699 0.000
Ca Hg P
2 1 1
Direct
0.000 0.000 0.000
0.250 0.250 0.250
0.500 0.500 0.500
0.750 0.750 0.750
```

E_form in eV/f.u.: -0.7
DFT total energy in eV/cell: -10.412
Crystal system: cubic
Symmetry: F-43m, No. 216
E above lowest polymorph in kJ per mole of atoms: 63.5

---

[26]
Computed, not measured: a geometry-optimized CaHgP2 structure at the PBE-GGA level of DFT.

```
CaHgP2
1.0
4.711 0.000 0.000
0.000 4.158 0.000
-1.788 0.000 4.717
Ca Hg P
1 1 2
Direct
0.000 0.000 0.000
0.384 0.500 0.730
0.636 0.000 0.391
0.817 0.500 0.322
```

E_form in eV/f.u.: -1.2
DFT total energy in eV/cell: -14.356
Crystal system: monoclinic
Symmetry: Pm, No. 6

---

[27]
Computed, not measured: a geometry-optimized Ca2HgP structure at the PBE-GGA level of DFT.

```
Ca2HgP
1.0
2.145 1.239 7.187
-2.145 1.239 7.187
0.000 -2.477 7.187
Ca Hg P
2 1 1
Direct
0.000 0.000 0.000
0.202 0.202 0.202
0.436 0.436 0.436
0.599 0.599 0.599
```

E_form in eV/f.u.: -3.3
DFT total energy in eV/cell: -13.046
Crystal system: trigonal
Symmetry: R3m, No. 160
E above lowest polymorph in kJ per mole of atoms: 0.0

---

[28]
Computed, not measured: a geometry-optimized Ca4Hg2P structure at the PBE-GGA level of DFT.

```
Ca4Hg2P
1.0
-2.703 2.703 7.917
2.703 -2.703 7.917
2.703 2.703 -7.917
Ca Hg P
4 2 1
Direct
0.000 0.500 0.500
0.180 0.180 0.000
0.500 0.000 0.500
0.820 0.820 0.000
0.376 0.376 0.000
0.624 0.624 0.000
0.000 0.000 0.000
```

E_form in eV/f.u.: -3.7
DFT total energy in eV/cell: -17.711
Crystal system: tetragonal
Symmetry: I4/mmm, No. 139

---

[29]
Computed, not measured: a geometry-optimized CaHgP2 structure at the PBE-GGA level of DFT.

```
CaHgP2
1.0
0.000 3.483 3.483
3.483 0.000 3.483
3.483 3.483 0.000
Ca Hg P
1 1 2
Direct
0.000 0.000 0.000
0.750 0.750 0.750
0.250 0.250 0.250
0.500 0.500 0.500
```

E_form in eV/f.u.: 0.3
DFT total energy in eV/cell: -12.812
Crystal system: cubic
Symmetry: F-43m, No. 216